No. 1
First-principles (PBE) data for crystalline Cr3Co4 at its relaxed geometry, as listed in Alexandria via LeMat-Bulk.

POSCAR file:
```
Cr3Co4
1.0
-1.432 1.432 9.591
1.432 -1.432 9.591
1.432 1.432 -9.591
Cr Co
3 4
direct
0.000 0.000 0.000
0.284 0.284 0.000
0.716 0.716 0.000
0.144 0.144 0.000
0.431 0.431 0.000
0.569 0.569 0.000
0.856 0.856 0.000
```

Symmetry   I4/mmm, No. 139
DFT formation energy   165 meV/atom


No. 2
First-principles (PBE) data for crystalline BeBAu at its relaxed geometry, as listed in Alexandria via LeMat-Bulk.

POSCAR file:
```
BeBAu
1.0
4.421 -1.528 0.000
4.421 1.528 0.000
-1.648 0.000 5.258
Be B Au
2 2 2
direct
0.232 0.232 0.197
0.768 0.768 0.803
0.216 0.216 0.535
0.784 0.784 0.465
0.053 0.053 0.784
0.947 0.947 0.216
```

Symmetry   C2/m, No. 12
DFT formation energy   37 meV/atom


No. 3
First-principles (PBE) data for crystalline LaMgBr3 at its relaxed geometry, as listed in Alexandria via LeMat-Bulk.

POSCAR file:
```
LaMgBr3
1.0
5.911 0.000 0.000
0.000 5.911 0.000
0.000 0.000 5.911
La Mg Br
1 1 3
direct
0.000 0.000 0.000
0.500 0.500 0.500
0.000 0.000 0.500
0.000 0.500 0.000
0.500 0.000 0.000
```

Symmetry   Pm-3m, No. 221
Excess energy over the best structure of this formula in the dataset   0 meV per atom
Formation energy without anion corrections   -1242 meV/atom


No. 4
First-principles (PBE) data for crystalline CaCrPt2 at its relaxed geometry, as listed in Alexandria via LeMat-Bulk.

POSCAR file:
```
CaCrPt2
1.0
-2.212 2.212 3.651
2.212 -2.212 3.651
2.212 2.212 -3.651
Ca Cr Pt
1 1 2
direct
0.000 0.000 0.000
0.500 0.500 0.000
0.250 0.750 0.500
0.750 0.250 0.500
```

Symmetry   I4/mmm, No. 139
Excess energy over the best structure of this formula in the dataset   88 meV per atom
DFT formation energy   -327 meV/atom


No. 5
First-principles (PBE) data for crystalline TbSm4As5 at its relaxed geometry, as listed in Alexandria via LeMat-Bulk.

POSCAR file:
```
TbSm4As5
1.0
-4.696 4.696 2.970
4.696 -4.696 2.970
4.696 4.696 -2.970
Tb Sm As
1 4 5
direct
0.000 0.000 0.000
0.200 0.599 0.799
0.401 0.200 0.601
0.599 0.800 0.399
0.800 0.401 0.201
0.099 0.298 0.397
0.298 0.901 0.198
0.500 0.500 0.000
0.702 0.099 0.802
0.901 0.702 0.603
```

Symmetry   I4/m, No. 87
DFT formation energy   -1530 meV/atom


No. 6
First-principles (PBE) data for crystalline NbCdSi2 at its relaxed geometry, as listed in Alexandria via LeMat-Bulk.

POSCAR file:
```
NbCdSi2
1.0
-3.601 3.601 2.885
3.601 -3.601 2.885
3.601 3.601 -2.885
Nb Cd Si
2 2 4
direct
0.000 0.000 0.000
0.750 0.250 0.500
0.250 0.750 0.500
0.500 0.500 0.000
0.116 0.625 0.991
0.375 0.366 0.491
0.634 0.125 0.009
0.875 0.884 0.509
```

Symmetry   I-42d, No. 122
Formation energy without anion corrections   502 meV/atom


no.,total moment (μB per formula unit)
1,6.4
2,0.0
3,0.0
4,4.1
5,0.0
6,0.0